Computed, not measured: InSiOs2 after structural relaxation at the PBE-GGA level of DFT.

The structure in POSCAR format:
```
InSiOs2
1.0
2.957 0.000 0.000
0.000 4.505 0.000
-0.592 0.000 4.776
In Si Os
1 1 2
direct
0.000 0.000 0.000
0.531 0.500 0.751
0.447 0.000 0.511
0.917 0.500 0.334
```

Summary:
distance to the lowest polymorph of the same formula = 0.250 eV/atom
SG = Pm (6)

Computed, not measured: SmNpB12 after structural relaxation at the PBE-GGA level of DFT.

The structure in POSCAR format:
```
SmNpB12
1.0
4.103 0.000 0.000
0.000 4.103 0.000
0.000 0.000 8.213
Sm Np B
1 1 12
direct
0.000 0.000 0.000
0.000 0.000 0.500
0.198 0.500 0.251
0.198 0.500 0.749
0.500 0.198 0.251
0.500 0.198 0.749
0.500 0.500 0.100
0.500 0.500 0.401
0.500 0.500 0.599
0.500 0.500 0.900
0.500 0.802 0.251
0.500 0.802 0.749
0.802 0.500 0.251
0.802 0.500 0.749
```

Summary:
energy of formation = -0.37 eV/atom
SG = P4/mmm (123)

Computed, not measured: YInAg after structural relaxation at the PBE-GGA level of DFT.

The structure in POSCAR format:
```
YInAg
1.0
5.468 -2.371 0.000
5.468 2.371 0.000
-4.710 0.000 5.563
Y In Ag
2 2 2
direct
0.034 0.034 0.291
0.966 0.966 0.709
0.333 0.333 0.880
0.667 0.667 0.120
0.337 0.337 0.302
0.663 0.663 0.698
```

Summary:
energy of formation = -0.39 eV/atom
SG = C2/m (12)

Computed total magnetization, in the same sequence as the records: 0.0; 4.2; 0.0 μB/cell.
Computed raw total energy, in the same sequence as the records: -7.32; -7.35; -4.41 eV/atom.